VASP calculation (PBE) on a relaxed structure of Tb12Er5Th2.

Cell: 9.353 12.348 8.511 Å, 132.54 90.00 112.25°
Positions (direct):
Tb (0.559, 0.119, 0.792)
Tb (0.666, 0.692, 0.932)
Tb (0.026, 0.692, 0.932)
Tb (0.974, 0.308, 0.068)
Tb (0.434, 0.253, 0.595)
Tb (0.819, 0.253, 0.595)
Th (0.322, 0.000, 0.000)
Tb (0.441, 0.881, 0.208)
Tb (0.334, 0.308, 0.068)
Er (0.696, 0.392, 0.377)
Tb (0.181, 0.747, 0.405)
Er (0.232, 0.463, 0.888)
Tb (0.566, 0.747, 0.405)
Er (0.304, 0.608, 0.623)
Th (0.678, 0.000, 0.000)
Tb (0.088, 0.175, 0.293)
Tb (0.912, 0.825, 0.707)
Er (0.000, 0.000, 0.500)
Er (0.768, 0.537, 0.112)

Summary:
Density = 8.57 g/cm3
D(E_F) = 28.00 states/eV per cell
Electronic total energy = -90.352 eV per formula unit
Spin magnetization = 0.00 μB per cell


VASP calculation (PBE) on a relaxed structure of Tb7ErTh3.

Cell: 8.543 7.082 7.082 Å, 120.00 90.00 90.00°
Positions (direct):
Tb (0.110, 0.667, 0.333)
Tb (0.453, 0.832, 0.168)
Tb (0.453, 0.336, 0.168)
Th (0.783, 0.001, 0.500)
Tb (0.114, 0.664, 0.832)
Th (0.783, 0.500, 0.500)
Th (0.783, 0.500, 0.999)
Er (0.456, 0.333, 0.667)
Tb (0.114, 0.168, 0.832)
Tb (0.114, 0.168, 0.336)
Tb (0.453, 0.832, 0.664)

Summary:
Density = 8.84 g/cm3
D(E_F) = 15.61 states/eV per cell
Electronic total energy = -56.936 eV per formula unit
Spin magnetization = 0.00 μB per cell


VASP calculation (PBE) on a relaxed structure of Tb3Er7Th.

Cell: 8.603 6.988 6.988 Å, 120.00 90.00 90.00°
Positions (direct):
Tb (0.782, 0.003, 0.501)
Er (0.447, 0.335, 0.167)
Er (0.121, 0.169, 0.831)
Er (0.117, 0.667, 0.333)
Tb (0.782, 0.499, 0.501)
Er (0.447, 0.833, 0.167)
Er (0.121, 0.662, 0.831)
Tb (0.782, 0.499, 0.997)
Er (0.447, 0.833, 0.665)
Er (0.121, 0.169, 0.338)
Th (0.448, 0.333, 0.667)

Summary:
Density = 8.58 g/cm3
D(E_F) = 16.96 states/eV per cell
Electronic total energy = -51.197 eV per formula unit
Spin magnetization = 0.00 μB per cell


For each record above, in turn, the calculated energy of formation from the pure elements values are 2.9; 2.3; 2.1 eV/f.u..
For each record above, in turn, the calculated V values are 32.70; 33.73; 33.08 Å³/atom.